First-principles (PBE+U) data for a geometry-optimized Li7Mn2Co3O12 structure, as listed in the Alexandria database.

Geometry as POSCAR:
```
Li7Mn2Co3O12
1.0
5.000 0.028 -0.010
-1.615 4.823 -0.004
-0.081 -0.108 8.843
Li Mn Co O
7 2 3 12
Direct
0.000 0.501 0.157 Li
0.500 0.501 0.325 Li
0.004 0.502 0.495 Li
0.509 0.505 0.665 Li
0.993 0.494 0.841 Li
0.490 0.496 0.009 Li
0.495 0.995 0.165 Li
0.998 0.992 0.004 Mn
0.505 0.007 0.497 Mn
0.000 0.000 0.325 Co
0.001 0.008 0.668 Co
0.498 0.994 0.843 Co
0.232 0.760 0.995 O
0.773 0.764 0.158 O
0.254 0.779 0.350 O
0.747 0.776 0.502 O
0.274 0.794 0.666 O
0.755 0.776 0.837 O
0.744 0.222 0.346 O
0.263 0.235 0.503 O
0.756 0.235 0.657 O
0.243 0.216 0.845 O
0.747 0.219 0.987 O
0.218 0.229 0.160 O
```

Summary:
As for the distance to the lowest polymorph of the same formula: 0.58 eV per formula unit. The density is 4.10 g/cm3.